This record from the Alexandria database describes a geometry-optimized Li3Fe2Si2O8 structure. The functional is PBE+U.

Cell and atoms, written as CIF:
```
data_Li3Fe2Si2O8
_chemical_formula_sum 'Li6 Fe4 Si4 O16'
_cell_length_a 8.361
_cell_length_b 5.466
_cell_length_c 8.816
_cell_angle_alpha 90.00
_cell_angle_beta 102.44
_cell_angle_gamma 90.00
_symmetry_space_group_name_H-M 'P 1'
_symmetry_Int_Tables_number 1
loop_
_symmetry_equiv_pos_as_xyz
'x,y,z'
loop_
_atom_site_label
_atom_site_type_symbol
_atom_site_fract_x
_atom_site_fract_y
_atom_site_fract_z
_atom_site_occupancy
Li1 Li 0.000 0.152 0.000 1
Li2 Li 0.000 0.848 0.500 1
Li3 Li 0.415 0.322 0.223 1
Li4 Li 0.415 0.678 0.723 1
Li5 Li 0.918 0.329 0.663 1
Li6 Li 0.918 0.671 0.163 1
Fe1 Fe 0.102 0.322 0.363 1
Fe2 Fe 0.102 0.678 0.863 1
Fe3 Fe 0.586 0.182 0.710 1
Fe4 Fe 0.586 0.818 0.210 1
Si1 Si 0.215 0.170 0.734 1
Si2 Si 0.215 0.830 0.234 1
Si3 Si 0.723 0.314 0.078 1
Si4 Si 0.723 0.686 0.578 1
O1 O 0.081 0.177 0.565 1
O2 O 0.081 0.823 0.065 1
O3 O 0.114 0.306 0.853 1
O4 O 0.114 0.694 0.353 1
O5 O 0.266 0.110 0.285 1
O6 O 0.266 0.890 0.785 1
O7 O 0.382 0.326 0.720 1
O8 O 0.382 0.674 0.220 1
O9 O 0.589 0.154 0.150 1
O10 O 0.589 0.846 0.650 1
O11 O 0.676 0.391 0.577 1
O12 O 0.676 0.609 0.077 1
O13 O 0.733 0.217 0.903 1
O14 O 0.733 0.783 0.403 1
O15 O 0.913 0.299 0.173 1
O16 O 0.913 0.701 0.673 1
```

## Properties
Energy = -200.86 eV/cell
Energy above the most stable polymorph in this dataset = 0.0228 eV/atom
Space group = No. 7
N(E_F) = 0.00 states/eV per cell